P) First-principles (PBE-GGA) data for a relaxed GaSb2TePt crystal, as listed in the Alexandria database.

Summary:
symmetry: P4/mmm, No. 123

Geometry as POSCAR:
```
GaSb2TePt
1.0
5.171 0.000 0.000
0.000 5.171 0.000
0.000 0.000 5.205
Sb Ga Pt Te
2 1 1 1
direct
0.500 0.000 0.000
0.000 0.500 0.000
0.000 0.000 0.000
0.500 0.500 0.500
0.000 0.000 0.500
```



Q) First-principles (PBE-GGA) data for a relaxed GaSb2TePt crystal, as listed in the Alexandria database.

Summary:
symmetry: P4/mmm, No. 123

Geometry as POSCAR:
```
GaSb2TePt
1.0
-3.228 4.076 0.435
-1.994 -2.045 4.367
3.907 2.765 3.078
Ga Te Sb Pt
1 1 2 1
direct
0.500 0.500 0.500
0.000 0.000 0.500
0.500 0.000 0.000
0.000 0.500 0.000
0.000 0.000 0.000
```



What are the relative energies? In meV/atom: P) 574; Q) 0.



P) First-principles (PBE-GGA) data for a relaxed ScGa3Pt crystal, as listed in the Alexandria database.

Summary:
symmetry: Pm-3m, No. 221

Geometry as POSCAR:
```
ScGa3Pt
1.0
-0.492 3.269 -3.481
2.095 -2.997 -3.111
-4.292 -1.838 -1.119
Pt Ga Sc
1 3 1
direct
0.000 0.000 0.000
0.000 0.000 0.500
0.500 0.000 0.000
0.000 0.500 0.000
0.500 0.500 0.500
```



Q) First-principles (PBE-GGA) data for a relaxed ScGa3Pt crystal, as listed in the Alexandria database.

Summary:
symmetry: Pm-3m, No. 221

Geometry as POSCAR:
```
ScGa3Pt
1.0
5.036 0.000 0.000
0.000 5.036 0.000
0.000 0.000 5.036
Ga Pt Sc
3 1 1
direct
0.000 0.500 0.000
0.000 0.000 0.500
0.500 0.000 0.000
0.500 0.500 0.500
0.000 0.000 0.000
```



R) First-principles (PBE-GGA) data for a relaxed ScGa3Pt crystal, as listed in the Alexandria database.

Summary:
symmetry: Amm2, No. 38

Geometry as POSCAR:
```
ScGa3Pt
1.0
4.123 0.000 0.000
0.000 7.357 0.000
0.000 -3.678 3.212
Sc Ga Pt
1 3 1
direct
0.500 0.895 0.790
0.000 0.050 0.468
0.500 0.375 0.750
0.000 0.418 0.468
0.000 0.616 0.233
```



What are the relative energies? In meV/atom: P) 348; Q) 1369; R) 0.



P) First-principles (PBE-GGA) data for a relaxed Sc6Ga3Pt crystal, as listed in the Alexandria database.

Summary:
symmetry: P2_1/m, No. 11

Geometry as POSCAR:
```
Sc6Ga3Pt
1.0
-3.058 -3.651 -0.190
2.119 -1.356 -8.034
6.331 -5.609 5.899
Sc Pt Ga
12 2 6
direct
0.250 0.133 0.168
0.250 0.660 0.673
0.750 0.162 0.691
0.250 0.241 0.503
0.750 0.901 0.129
0.750 0.867 0.832
0.250 0.457 0.088
0.250 0.838 0.309
0.750 0.340 0.327
0.750 0.543 0.912
0.250 0.099 0.871
0.750 0.759 0.497
0.750 0.055 0.403
0.250 0.945 0.597
0.750 0.614 0.209
0.750 0.219 0.025
0.750 0.478 0.620
0.250 0.522 0.380
0.250 0.386 0.791
0.250 0.781 0.975
```



Q) First-principles (PBE-GGA) data for a relaxed Sc6Ga3Pt crystal, as listed in the Alexandria database.

Summary:
symmetry: Pnnm, No. 58

Geometry as POSCAR:
```
Sc6Ga3Pt
1.0
-0.046 -0.301 -4.695
1.337 -8.038 0.502
-10.637 -1.756 0.216
Sc Ga Pt
12 6 2
direct
0.000 0.006 0.754
0.000 0.674 0.908
0.000 0.665 0.588
0.000 0.994 0.246
0.500 0.826 0.408
0.000 0.326 0.092
0.000 0.335 0.412
0.500 0.835 0.088
0.500 0.506 0.746
0.500 0.174 0.592
0.500 0.494 0.254
0.500 0.165 0.912
0.000 0.661 0.237
0.000 0.000 0.500
0.500 0.839 0.737
0.500 0.161 0.263
0.500 0.500 0.000
0.000 0.339 0.763
0.500 0.500 0.500
0.000 0.000 0.000
```



What are the relative energies? In meV/atom: P) 0; Q) 24.



P) First-principles (PBE-GGA) data for a relaxed ScGaPt3 crystal, as listed in the Alexandria database.

Summary:
symmetry: Pm-3m, No. 221

Geometry as POSCAR:
```
ScGaPt3
1.0
4.632 0.000 0.000
0.000 4.632 0.000
0.000 0.000 4.632
Pt Ga Sc
3 1 1
direct
0.000 0.000 0.500
0.000 0.500 0.000
0.500 0.000 0.000
0.000 0.000 0.000
0.500 0.500 0.500
```



Q) First-principles (PBE-GGA) data for a relaxed ScGaPt3 crystal, as listed in the Alexandria database.

Summary:
symmetry: Pmmn, No. 59

Geometry as POSCAR:
```
ScGaPt3
1.0
4.496 0.000 0.000
0.000 5.581 0.000
0.000 0.000 6.925
Pt Ga Sc
6 2 2
direct
0.000 0.259 0.270
0.000 0.000 0.919
0.500 0.500 0.081
0.000 0.741 0.270
0.500 0.759 0.730
0.500 0.241 0.730
0.000 0.000 0.564
0.500 0.500 0.436
0.500 0.000 0.151
0.000 0.500 0.849
```



R) First-principles (PBE-GGA) data for a relaxed ScGaPt3 crystal, as listed in the Alexandria database.

Summary:
symmetry: Pm-3m, No. 221

Geometry as POSCAR:
```
ScGaPt3
1.0
4.870 0.000 0.000
0.000 4.870 0.000
0.000 0.000 4.870
Pt Ga Sc
3 1 1
direct
0.000 0.500 0.000
0.500 0.000 0.000
0.000 0.000 0.500
0.500 0.500 0.500
0.000 0.000 0.000
```



What are the relative energies? In meV/atom: P) 747; Q) 0; R) 1421.



P) First-principles (PBE-GGA) data for a relaxed Sc4Ga3Pt crystal, as listed in the Alexandria database.

Summary:
symmetry: Pmm2, No. 25

Geometry as POSCAR:
```
Sc4Ga3Pt
1.0
3.497 0.000 0.000
0.000 4.237 0.000
0.000 0.000 10.524
Pt Ga Sc
1 3 4
direct
0.500 0.500 0.081
0.000 0.500 0.578
0.000 0.000 0.423
0.500 0.000 0.917
0.000 0.500 0.863
0.500 0.500 0.343
0.500 0.000 0.652
0.000 0.000 0.143
```



Q) First-principles (PBE-GGA) data for a relaxed Sc4Ga3Pt crystal, as listed in the Alexandria database.

Summary:
symmetry: P4/mmm, No. 123

Geometry as POSCAR:
```
Sc4Ga3Pt
1.0
3.345 0.000 0.000
0.000 3.345 0.000
0.000 0.000 13.361
Sc Ga Pt
4 3 1
direct
0.000 0.000 0.119
0.000 0.000 0.627
0.000 0.000 0.373
0.000 0.000 0.881
0.500 0.500 0.753
0.500 0.500 0.247
0.500 0.500 0.500
0.500 0.500 0.000
```



What are the relative energies? In meV/atom: P) 0; Q) 9.



P) First-principles (PBE-GGA) data for a relaxed TbScGaPt crystal, as listed in the Alexandria database.

Summary:
symmetry: F-43m, No. 216

Geometry as POSCAR:
```
TbScGaPt
1.0
4.880 0.000 0.000
2.440 4.226 0.000
2.440 1.409 3.984
Sc Ga Pt Tb
1 1 1 1
direct
0.500 0.500 0.500
0.750 0.750 0.750
0.250 0.250 0.250
0.000 0.000 0.000
```



Q) First-principles (PBE-GGA) data for a relaxed TbScGaPt crystal, as listed in the Alexandria database.

Summary:
symmetry: Amm2, No. 38

Geometry as POSCAR:
```
TbScGaPt
1.0
-0.685 3.093 1.759
-4.204 -0.235 -1.223
-0.790 -4.314 3.546
Pt Ga Tb Sc
1 1 1 1
direct
0.580 0.500 0.161
0.428 0.000 0.856
0.852 0.500 0.704
0.140 0.000 0.280
```



What are the relative energies? In meV/atom: P) 49; Q) 0.